Record 1
# CuPdPtRh

A relaxed CuPdPtRh crystal (PBE, Alexandria).

Summary:
Fermi-level density of states, states/eV/f.u.: 5.4
Formation energy, kJ/mol of atoms: -2.9
DFT total energy, eV per atom: -5.700

POSCAR file:
```
CuPdPtRh
1.0
2.7698 0.0000 0.0000
0.0000 2.7698 0.0000
0.0000 0.0000 7.5336
Cu Pd Pt Rh
1 1 1 1
direct
0.0000 0.0000 0.0000 Cu
0.5000 0.5000 0.2400 Pd
0.5000 0.5000 0.7585 Pt
0.0000 0.0000 0.5002 Rh
```



Record 2
# CuPdPtRh

A relaxed CuPdPtRh crystal (PBE, Alexandria).

Summary:
Fermi-level density of states, states/eV/f.u.: 6.8
Formation energy, kJ/mol of atoms: 9.7
DFT total energy, eV per atom: -5.570

POSCAR file:
```
CuPdPtRh
1.0
0.0000 3.0826 3.0826
3.0826 0.0000 3.0826
3.0826 3.0826 0.0000
Cu Pd Pt Rh
1 1 1 1
direct
0.0000 0.0000 0.0000 Cu
0.7500 0.7500 0.7500 Pd
0.2500 0.2500 0.2500 Pt
0.5000 0.5000 0.5000 Rh
```